(1)
CsTb2Cu3Se4S | PBE | relaxed

```
data_CsTb2Cu3Se4S
_chemical_formula_sum 'Cs4 Tb8 Cu12 Se16 S4'
_space_group_name_H-M_alt 'C m c m'
_space_group_IT_number 63
_space_group_name_Hall '-C 2c 2'
_cell_length_a 4.106
_cell_length_b 14.702
_cell_length_c 17.268
_cell_angle_alpha 90.00
_cell_angle_beta 90.00
_cell_angle_gamma 90.00
loop_
_atom_site_label
_atom_site_type_symbol
_atom_site_fract_x
_atom_site_fract_y
_atom_site_fract_z
_atom_site_occupancy
Cs1 Cs 0.000 0.066 0.250 1
Tb1 Tb 0.000 0.193 0.595 1
Cu1 Cu 0.000 0.337 0.250 1
Cu2 Cu 0.000 0.415 0.529 1
Se1 Se 0.000 0.167 0.070 1
Se2 Se 0.000 0.441 0.114 1
S1 S 0.000 0.231 0.750 1
```

Results
Magnetic moment   0.000 μB/atom
Electronic total energy   -4.73 eV/atom

---

(2)
RbAcHg | PBE | relaxed

```
data_RbAcHg
_chemical_formula_sum 'Rb4 Ac4 Hg4'
_space_group_name_H-M_alt 'F -4 3 m'
_space_group_IT_number 216
_space_group_name_Hall 'F -4 2 3'
_cell_length_a 8.103
_cell_length_b 8.103
_cell_length_c 8.103
_cell_angle_alpha 90.00
_cell_angle_beta 90.00
_cell_angle_gamma 90.00
loop_
_atom_site_label
_atom_site_type_symbol
_atom_site_fract_x
_atom_site_fract_y
_atom_site_fract_z
_atom_site_occupancy
Rb1 Rb 0.000 0.000 0.000 1
Ac1 Ac 0.000 0.000 0.500 1
Hg1 Hg 0.250 0.250 0.750 1
```

Results
Magnetic moment   0.000 μB/atom
Electronic total energy   -1.64 eV/atom

---

(3)
PaBeMo | PBE | relaxed

```
data_PaBeMo
_chemical_formula_sum 'Pa4 Be4 Mo4'
_space_group_name_H-M_alt 'F -4 3 m'
_space_group_IT_number 216
_space_group_name_Hall 'F -4 2 3'
_cell_length_a 6.024
_cell_length_b 6.024
_cell_length_c 6.024
_cell_angle_alpha 90.00
_cell_angle_beta 90.00
_cell_angle_gamma 90.00
loop_
_atom_site_label
_atom_site_type_symbol
_atom_site_fract_x
_atom_site_fract_y
_atom_site_fract_z
_atom_site_occupancy
Pa1 Pa 0.000 0.000 0.000 1
Be1 Be 0.250 0.250 0.750 1
Mo1 Mo 0.000 0.000 0.500 1
```

Results
Magnetic moment   0.001 μB/atom
Electronic total energy   -7.63 eV/atom

---

(4)
PmMgNb | PBE | relaxed

```
data_PmMgNb
_chemical_formula_sum 'Pm4 Mg4 Nb4'
_space_group_name_H-M_alt 'F -4 3 m'
_space_group_IT_number 216
_space_group_name_Hall 'F -4 2 3'
_cell_length_a 7.115
_cell_length_b 7.115
_cell_length_c 7.115
_cell_angle_alpha 90.00
_cell_angle_beta 90.00
_cell_angle_gamma 90.00
loop_
_atom_site_label
_atom_site_type_symbol
_atom_site_fract_x
_atom_site_fract_y
_atom_site_fract_z
_atom_site_occupancy
Pm1 Pm 0.000 0.000 0.000 1
Mg1 Mg 0.250 0.250 0.750 1
Nb1 Nb 0.250 0.250 0.250 1
```

Results
Magnetic moment   0.975 μB/atom
Electronic total energy   -4.20 eV/atom

---

(5)
Nd4I5N2 | PBE | relaxed

```
data_Nd4I5N2
_chemical_formula_sum 'Nd8 I10 N4'
_space_group_name_H-M_alt 'C 1 2/m 1'
_space_group_IT_number 12
_cell_length_a 19.787
_cell_length_b 3.942
_cell_length_c 8.807
_cell_angle_alpha 90.00
_cell_angle_beta 103.19
_cell_angle_gamma 90.00
loop_
_space_group_symop_operation_xyz
'x,y,z'
'-x,-y,-z'
'-x,y,-z'
'x,-y,z'
'x+1/2,y+1/2,z'
'-x+1/2,-y+1/2,-z'
'-x+1/2,y+1/2,-z'
'x+1/2,-y+1/2,z'
loop_
_atom_site_label
_atom_site_type_symbol
_atom_site_fract_x
_atom_site_fract_y
_atom_site_fract_z
_atom_site_occupancy
Nd1 Nd 0.000 0.000 0.185 1
Nd2 Nd 0.153 0.500 0.081 1
I1 I 0.000 0.500 0.500 1
I2 I 0.162 0.000 0.366 1
I3 I 0.170 0.000 0.805 1
N1 N 0.035 0.500 0.018 1
```

Results
Magnetic moment   0.002 μB/atom
Electronic total energy   -5.15 eV/atom

---

(6)
CsMgAsPd | PBE | relaxed

```
data_CsMgAsPd
_chemical_formula_sum 'Cs4 Mg4 As4 Pd4'
_space_group_name_H-M_alt 'F -4 3 m'
_space_group_IT_number 216
_space_group_name_Hall 'F -4 2 3'
_cell_length_a 7.251
_cell_length_b 7.251
_cell_length_c 7.251
_cell_angle_alpha 90.00
_cell_angle_beta 90.00
_cell_angle_gamma 90.00
loop_
_atom_site_label
_atom_site_type_symbol
_atom_site_fract_x
_atom_site_fract_y
_atom_site_fract_z
_atom_site_occupancy
Cs1 Cs 0.000 0.000 0.000 1
Mg1 Mg 0.250 0.250 0.250 1
As1 As 0.000 0.000 0.500 1
Pd1 Pd 0.250 0.250 0.750 1
```

Results
Electronic total energy   -2.82 eV/atom